Record 1
# CdBiAu, optimized geometry, DFT PBE
# Calculated formation energy in meV/atom: 9
# Crystal system: trigonal
data_CdBiAu
_chemical_formula_sum 'Cd1 Bi1 Au1'
_symmetry_space_group_name_H-M 'P 3 m 1'
_symmetry_Int_Tables_number 156
_cell_length_a 4.6228
_cell_length_b 4.6228
_cell_length_c 4.1268
_cell_angle_alpha 90.00
_cell_angle_beta 90.00
_cell_angle_gamma 120.00
loop_
_symmetry_equiv_pos_as_xyz
'x,y,z'
'-y,x-y,z'
'-x+y,-x,z'
'-y,-x,z'
'-x+y,y,z'
'x,x-y,z'
loop_
_atom_site_label
_atom_site_type_symbol
_atom_site_fract_x
_atom_site_fract_y
_atom_site_fract_z
_atom_site_occupancy
Cd1 Cd 0.0000 0.0000 0.0000 1
Bi1 Bi 0.3333 0.6667 0.5515 1
Au1 Au 0.6667 0.3333 0.2310 1

Record 2
# NbZn2Ni8, optimized geometry, DFT PBE
# Calculated formation energy in meV/atom: 36
# Crystal system: orthorhombic
# Distance to the lowest polymorph of the same formula in kJ/mol of atoms: 5.9
data_NbZn2Ni8
_chemical_formula_sum 'Nb2 Zn4 Ni16'
_symmetry_space_group_name_H-M 'C m m m'
_symmetry_Int_Tables_number 65
_symmetry_space_group_name_Hall '-C 2 2'
_cell_length_a 7.3709
_cell_length_b 9.7706
_cell_length_c 3.8570
_cell_angle_alpha 90.00
_cell_angle_beta 90.00
_cell_angle_gamma 90.00
loop_
_atom_site_label
_atom_site_type_symbol
_atom_site_fract_x
_atom_site_fract_y
_atom_site_fract_z
_atom_site_occupancy
Nb1 Nb 0.0000 0.0000 0.0000 1
Zn1 Zn 0.0000 0.3764 0.5000 1
Ni1 Ni 0.0000 0.2485 0.0000 1
Ni2 Ni 0.1651 0.5000 0.0000 1
Ni3 Ni 0.1709 0.1341 0.5000 1

| no. | DOS at the Fermi energy (states/eV/cell) |
| --- | --- |
| 1 | 1.2 |
| 2 | 30.1 |